(1)
Computed, not measured: a relaxed structure of Sr2LaTaN4 at the PBE-GGA level of DFT.

a = 7.7762 Å, b = 7.0559 Å, c = 5.7863 Å
α = 90.00°, β = 90.00°, γ = 90.00°
With the nearest neighbours (Å) after each atom.
Space group Pmn2_1 (No. 31)
Asymmetric unit:
Sr (0.2460, 0.1685, 0.0000) [4 per cell]  4 N 2.44-2.60
La (0.0000, 0.3588, 0.5057) [2 per cell]  4 N 2.31-2.50
Ta (0.0000, 0.6723, 0.0243) [2 per cell]  4 N 1.94-1.99
N (0.0000, 0.4029, 0.9280) [2 per cell]  1 Ta 1.98
N (0.0000, 0.6631, 0.3601) [2 per cell]  1 Ta 1.94
N (0.2188, 0.8050, 0.9455) [4 per cell]  1 Ta 1.99

**Formation energy (no corrections)**: -1.194 eV per atom


(2)
Computed, not measured: a relaxed structure of Sr2LaTcN4 at the PBE-GGA level of DFT.

a = 3.5548 Å, b = 12.1891 Å, c = 12.9688 Å
α = 90.00°, β = 90.00°, γ = 90.00°
With the nearest neighbours (Å) after each atom.
Space group Cmcm (No. 63)
Asymmetric unit:
Sr (0.0000, 0.1309, 0.0374) [8 per cell]  3 N 2.44-2.57
La (0.0000, 0.4312, 0.2500) [4 per cell]  2 N 2.61
Tc (0.0000, 0.3150, 0.7500) [4 per cell]  2 N 1.80
N (0.0000, 0.0882, 0.2500) [4 per cell]  2 Tc 2.13
N (0.0000, 0.2279, 0.6384) [8 per cell]  1 Tc 1.80
N (0.0000, 0.5000, 0.0000) [4 per cell]  4 Sr 2.44

**Formation energy (no corrections)**: -0.564 eV per atom


(3)
Computed, not measured: a relaxed structure of SrLaTcN4 at the PBE-GGA level of DFT.

a = 6.1195 Å, b = 5.8595 Å, c = 7.1873 Å
α = 90.00°, β = 106.83°, γ = 90.00°
With the nearest neighbours (Å) after each atom.
Space group P2_1/m (No. 11)
Asymmetric unit:
Sr (0.2131, 0.2500, 0.4254) [2 per cell]  4 N 2.69-2.73
La (0.2849, 0.2500, 0.9491) [2 per cell]  6 N 2.48-2.76
Tc (0.2569, 0.7500, 0.1928) [2 per cell]  4 N 1.81-1.83
N (0.0613, 0.7500, 0.3426) [2 per cell]  1 Tc 1.83
N (0.0791, 0.7500, 0.9434) [2 per cell]  1 Tc 1.81
N (0.4489, 0.5045, 0.2308) [4 per cell]  1 Tc 1.83

**Formation energy (no corrections)**: -0.771 eV per atom


(4)
Computed, not measured: a relaxed structure of Sr2LaTc2N6 at the PBE-GGA level of DFT.

a = 10.6903 Å, b = 6.1713 Å, c = 7.1334 Å
α = 90.00°, β = 122.84°, γ = 90.00°
With the nearest neighbours (Å) after each atom.
Space group C2/m (No. 12)
Asymmetric unit:
Sr (0.2131, 0.0000, 0.1733) [4 per cell]  5 N 2.67-2.83
La (0.0000, 0.0000, 0.5000) [2 per cell]  6 N 2.46-2.59
Tc (0.0282, 0.5000, 0.1989) [4 per cell]  3 N 1.78-1.81
N (0.0705, 0.2604, 0.8020) [8 per cell]  1 Tc 1.81
N (0.2252, 0.5000, 0.3872) [4 per cell]  1 Tc 1.78

**Formation energy (no corrections)**: -0.613 eV per atom